Entry 1:
Compound: CdFe2Ag
Source: Alexandria
Functional: PBEsol
Structure: relaxed

## Properties
The total energy is -5.216 eV/atom. The space-group type is I4/mmm (139).

The structure in POSCAR format:
```
CdFe2Ag
1.0
-1.913 1.913 3.991
1.913 -1.913 3.991
1.913 1.913 -3.991
Cd Fe Ag
1 2 1
Direct
0.000 0.000 0.000
0.250 0.750 0.500
0.750 0.250 0.500
0.500 0.500 0.000
```

---

Entry 2:
Compound: LaCdFe2Ag
Source: Alexandria
Functional: PBEsol
Structure: relaxed

## Properties
The total energy is -4.640 eV/atom. The space-group type is P4/mmm (123).

The structure in POSCAR format:
```
LaCdFe2Ag
1.0
4.820 0.000 0.000
0.000 4.820 0.000
0.000 0.000 4.974
La Cd Fe Ag
1 1 2 1
Direct
0.000 0.000 0.000
0.500 0.500 0.500
0.000 0.500 0.500
0.500 0.000 0.500
0.500 0.500 0.000
```

---

Entry 3:
Compound: CdGa2Ag2
Source: Alexandria
Functional: PBEsol
Structure: relaxed

## Properties
Its excess energy over the best structure of this formula in the dataset is 2 meV per atom. The space-group type is I4/mmm (139).

The structure in POSCAR format:
```
CdGa2Ag2
1.0
-1.846 1.846 6.690
1.846 -1.846 6.690
1.846 1.846 -6.690
Cd Ga Ag
1 2 2
Direct
0.000 0.000 0.000
0.250 0.750 0.500
0.750 0.250 0.500
0.398 0.398 0.000
0.602 0.602 0.000
```

---

Entry 4:
Compound: Cd3GaAg
Source: Alexandria
Functional: PBEsol
Structure: relaxed

## Properties
The total energy is -1.646 eV/atom. The space-group type is Pm-3m (221).

The structure in POSCAR format:
```
Cd3GaAg
1.0
5.125 0.000 0.000
0.000 5.125 0.000
0.000 0.000 5.125
Cd Ga Ag
3 1 1
Direct
0.000 0.000 0.500
0.000 0.500 0.000
0.500 0.000 0.000
0.500 0.500 0.500
0.000 0.000 0.000
```

---

Entry 5:
Compound: CdGa2Ag2
Source: Alexandria
Functional: PBEsol
Structure: relaxed

## Properties
Its excess energy over the best structure of this formula in the dataset is 0 meV per atom. The space-group type is P4/mbm (127).

The structure in POSCAR format:
```
CdGa2Ag2
1.0
7.916 0.000 0.000
0.000 7.916 0.000
0.000 0.000 2.873
Cd Ga Ag
2 4 4
Direct
0.000 0.000 0.000
0.500 0.500 0.000
0.173 0.327 0.500
0.327 0.827 0.500
0.673 0.173 0.500
0.827 0.673 0.500
0.127 0.627 0.000
0.373 0.127 0.000
0.627 0.873 0.000
0.873 0.373 0.000
```

---

Entry 6:
Compound: Cd2GaAgSe2S2
Source: Alexandria
Functional: PBEsol
Structure: relaxed

## Properties
Its formation energy (no corrections) is -0.46 eV per atom. The space-group type is Cm (8).

The structure in POSCAR format:
```
Cd2GaAgSe2S2
1.0
7.483 -2.026 0.000
7.483 2.026 0.000
-3.113 0.000 6.415
Cd Ga Ag Se S
2 1 1 2 2
Direct
0.000 0.000 0.000
0.523 0.523 0.560
0.253 0.253 0.972
0.736 0.736 0.429
0.433 0.433 0.138
0.930 0.930 0.606
0.186 0.186 0.200
0.710 0.710 0.762
```

---

Entry 7:
Compound: CdAg2GeS4
Source: Alexandria
Functional: PBEsol
Structure: relaxed

## Properties
Its formation energy (no corrections) is -0.34 eV per atom. The space-group type is Pmn2_1 (31).

The structure in POSCAR format:
```
CdAg2GeS4
1.0
7.747 0.000 0.000
0.000 6.959 0.000
0.000 0.000 6.578
Cd Ag Ge S
2 4 2 8
Direct
0.000 0.144 0.000
0.500 0.856 0.500
0.244 0.324 0.520
0.256 0.676 0.020
0.744 0.676 0.020
0.756 0.324 0.520
0.000 0.826 0.504
0.500 0.174 0.004
0.000 0.126 0.386
0.000 0.816 0.843
0.233 0.665 0.394
0.267 0.335 0.894
0.500 0.184 0.343
0.500 0.874 0.886
0.733 0.335 0.894
0.767 0.665 0.394
```

---

Entry 8:
Compound: CdAg4Ge2S7
Source: Alexandria
Functional: PBEsol
Structure: relaxed

## Properties
Its formation energy (no corrections) is -0.29 eV per atom. The space-group type is Cc (9).

The structure in POSCAR format:
```
CdAg4Ge2S7
1.0
8.721 -3.382 0.000
8.721 3.382 0.000
-0.542 0.000 10.356
Cd Ag Ge S
2 8 4 14
Direct
0.173 0.827 0.500
0.827 0.173 0.000
0.052 0.670 0.812
0.306 0.552 0.161
0.321 0.981 0.211
0.534 0.888 0.592
0.552 0.306 0.661
0.670 0.052 0.312
0.888 0.534 0.092
0.981 0.321 0.711
0.114 0.465 0.454
0.407 0.750 0.881
0.465 0.114 0.954
0.750 0.407 0.381
0.014 0.351 0.304
0.059 0.706 0.348
0.185 0.452 0.001
0.220 0.855 0.057
0.284 0.686 0.728
0.351 0.014 0.804
0.452 0.185 0.501
0.468 0.756 0.412
0.602 0.926 0.129
0.686 0.284 0.228
0.706 0.059 0.848
0.756 0.468 0.912
0.855 0.220 0.557
0.926 0.602 0.629
```